# 1
VASP calculation (PBE-GGA) on an optimized crystal structure of TaZn2Cr.

The structure belongs to space group Fm-3m (No. 225); the cell edges are 6.2192, 6.2192 and 6.2192 Å and the angles 90.00°, 90.00° and 90.00°. The asymmetric unit holds Ta at (0.0000, 0.0000, 0.0000), Zn at (0.2500, 0.2500, 0.2500) and Cr at (0.0000, 0.0000, 0.5000).

As for the total energy: -5.75 eV per atom. The magnetic moment comes out at 10.2 μB per cell. The energy above the most stable polymorph in this dataset is 156.3 meV per atom.

=====

# 2
VASP calculation (PBE-GGA) on an optimized crystal structure of TaZn2Cr.

The structure belongs to space group Cm (No. 8); the cell edges are 9.0814, 2.6246 and 4.9827 Å and the angles 90.00°, 96.13° and 90.00°. The asymmetric unit holds Ta at (0.0000, 0.0000, 0.0000), Zn at (0.0001, 0.5000, 0.4916), Zn at (0.2482, 0.0000, 0.7231) and Cr at (0.2569, 0.5000, 0.2290).

As for the total energy: -5.76 eV per atom. The magnetic moment comes out at 0.0 μB per cell. The energy above the most stable polymorph in this dataset is 142.5 meV per atom.

=====

# 3
VASP calculation (PBE-GGA) on an optimized crystal structure of TaZnCr.

The structure belongs to space group I4mm (No. 107); the cell edges are 3.2271, 3.2271 and 8.6229 Å and the angles 90.00°, 90.00° and 90.00°. The asymmetric unit holds Ta at (0.0000, 0.0000, 0.0000), Zn at (0.0000, 0.0000, 0.3175) and Cr at (0.0000, 0.0000, 0.6534).

As for the total energy: -7.43 eV per atom. The magnetic moment comes out at 2.0 μB per cell. The energy above the most stable polymorph in this dataset is 188.7 meV per atom.

=====

# 4
VASP calculation (PBE-GGA) on an optimized crystal structure of TaZn2Cr.

The structure belongs to space group Imm2 (No. 44); the cell edges are 3.1647, 4.4650 and 8.3781 Å and the angles 90.00°, 90.00° and 90.00°. The asymmetric unit holds Ta at (0.0000, 0.0000, 0.0000), Zn at (0.0000, 0.0000, 0.4883), Zn at (0.0000, 0.5000, 0.2276) and Cr at (0.0000, 0.5000, 0.7337).

As for the total energy: -5.81 eV per atom. The magnetic moment comes out at 1.1 μB per cell. The energy above the most stable polymorph in this dataset is 94.7 meV per atom.

=====

# 5
VASP calculation (PBE-GGA) on an optimized crystal structure of TaZn2Cr.

The structure belongs to space group I4/mmm (No. 139); the cell edges are 3.6975, 3.6975 and 8.4375 Å and the angles 90.00°, 90.00° and 90.00°. The asymmetric unit holds Ta at (0.0000, 0.0000, 0.0000), Zn at (0.0000, 0.5000, 0.2500) and Cr at (0.0000, 0.0000, 0.5000).

As for the total energy: -5.90 eV per atom. The magnetic moment comes out at 0.0 μB per cell. The energy above the most stable polymorph in this dataset is 0.0 meV per atom.

=====

# 6
VASP calculation (PBE-GGA) on an optimized crystal structure of Ta2Zn2Cr.

The structure belongs to space group P4/mbm (No. 127); the cell edges are 6.6071, 6.6071 and 3.5336 Å and the angles 90.00°, 90.00° and 90.00°. The asymmetric unit holds Ta at (0.1770, 0.3230, 0.0000), Zn at (0.1274, 0.6274, 0.5000) and Cr at (0.0000, 0.0000, 0.5000).

As for the total energy: -6.91 eV per atom. The magnetic moment comes out at 0.0 μB per cell.

=====

# 7
VASP calculation (PBE-GGA) on an optimized crystal structure of TaZn2Cr.

The structure belongs to space group Pm (No. 6); the cell edges are 2.7393, 4.2364 and 5.0991 Å and the angles 90.00°, 96.45° and 90.00°. The asymmetric unit holds Ta at (0.0000, 0.0000, 0.0000), Zn at (0.5736, 0.5000, 0.2406), Zn at (0.5890, 0.0000, 0.5080) and Cr at (0.2082, 0.5000, 0.7335).

As for the total energy: -5.85 eV per atom. The magnetic moment comes out at 0.0 μB per cell. The energy above the most stable polymorph in this dataset is 55.4 meV per atom.

=====

# 8
VASP calculation (PBE-GGA) on an optimized crystal structure of TaZn2Cr.

The structure belongs to space group C2/m (No. 12); the cell edges are 5.2453, 8.4038 and 2.6535 Å and the angles 90.00°, 91.44° and 90.00°. The asymmetric unit holds Ta at (0.0000, 0.0000, 0.0000), Zn at (0.2500, 0.2500, 0.5000) and Cr at (0.0000, 0.5000, 0.0000).

As for the total energy: -5.83 eV per atom. The magnetic moment comes out at 0.0 μB per cell. The energy above the most stable polymorph in this dataset is 75.3 meV per atom.

=====

Number 1: energy of formation from the pure elements 0.261 eV per atom. Number 2: energy of formation from the pure elements 0.247 eV per atom. Number 3: energy of formation from the pure elements 0.154 eV per atom. Number 4: energy of formation from the pure elements 0.199 eV per atom. Number 5: energy of formation from the pure elements 0.104 eV per atom. Number 6: energy of formation from the pure elements 0.263 eV per atom. Number 7: energy of formation from the pure elements 0.160 eV per atom. Number 8: energy of formation from the pure elements 0.180 eV per atom.